# 1
VASP calculation (PBE) on an optimized crystal structure of CaGaSi.

Cell lengths 4.144, 4.144, 4.379 Å; angles 90.00, 90.00, 120.00 degrees
Positions (direct):
Ca  0.000  0.000  0.000
Ga  0.333  0.667  0.500
Si  0.667  0.333  0.500

Results
* volume: 65.1 Å³ per cell
* ΔE_f (raw): -446 meV per atom
* crystal system: hexagonal
* magnetic moment: 0.0 μB per cell

---

# 2
VASP calculation (PBE) on an optimized crystal structure of Ca5Ga2Si.

Cell lengths 7.878, 7.878, 9.183 Å; angles 115.40, 115.40, 90.00 degrees
Positions (direct):
Ca  0.177  0.033  0.710
Ca  0.323  0.823  0.290
Ca  0.823  0.967  0.290
Ca  0.467  0.323  0.290
Ca  0.000  0.000  0.000
Ca  0.967  0.467  0.290
Ca  0.533  0.677  0.710
Ca  0.500  0.500  0.000
Ca  0.677  0.177  0.710
Ca  0.033  0.533  0.710
Ga  0.388  0.888  0.000
Ga  0.112  0.388  0.000
Ga  0.888  0.612  0.000
Ga  0.612  0.112  0.000
Si  0.750  0.750  0.500
Si  0.250  0.250  0.500

Results
* volume: 453.1 Å³ per cell
* ΔE_f (raw): -382 meV per atom
* crystal system: tetragonal
* magnetic moment: 0.0 μB per cell